The following is a GGA-PBE calculation of an optimized crystal structure of Li4PrBi2, from the Alexandria database.

## Properties
SG: P4_2/mnm
Crystal system: tetragonal
Energy of formation, eV/atom: -0.58

Cell lengths 4.627, 8.391, 8.391 Å; angles 90.00, 90.00, 90.00 degrees
Atoms (fractional coordinates):
Li 0.500 0.842 0.400
Li 0.000 0.658 0.900
Li 0.000 0.100 0.342
Li 0.500 0.158 0.600
Li 0.500 0.400 0.842
Li 0.500 0.600 0.158
Li 0.000 0.900 0.658
Li 0.000 0.342 0.100
Pr 0.500 0.000 0.000
Pr 0.000 0.500 0.500
Bi 0.500 0.288 0.288
Bi 0.500 0.712 0.712
Bi 0.000 0.788 0.212
Bi 0.000 0.212 0.788

The following is a GGA-PBE calculation of an optimized crystal structure of LiPrBi3, from the Alexandria database.

## Properties
SG: Pbcm
Crystal system: orthorhombic
Energy of formation, eV/atom: -0.53

Cell lengths 6.600, 6.351, 14.046 Å; angles 90.00, 90.00, 90.00 degrees
Atoms (fractional coordinates):
Bi 0.250 0.004 0.253
Bi 0.750 0.496 0.253
Bi 0.750 0.796 0.075
Bi 0.750 0.996 0.747
Bi 0.250 0.704 0.075
Bi 0.250 0.504 0.747
Bi 0.000 0.750 0.504
Bi 0.500 0.250 0.496
Bi 0.250 0.204 0.925
Bi 0.500 0.750 0.504
Bi 0.750 0.296 0.925
Bi 0.000 0.250 0.496
Pr 0.750 0.989 0.314
Pr 0.750 0.489 0.686
Pr 0.250 0.511 0.314
Pr 0.250 0.011 0.686
Li 0.500 0.750 0.890
Li 0.000 0.250 0.110
Li 0.000 0.750 0.890
Li 0.500 0.250 0.110

The following is a GGA-PBE calculation of an optimized crystal structure of LiPrBiPt, from the Alexandria database.

## Properties
SG: F-43m
Crystal system: cubic
Energy of formation, eV/atom: -0.65

Cell lengths 5.027, 5.027, 5.027 Å; angles 60.00, 60.00, 60.00 degrees
Atoms (fractional coordinates):
Pt 0.000 0.000 0.000
Bi 0.250 0.250 0.250
Li 0.500 0.500 0.500
Pr 0.750 0.750 0.750

The following is a GGA-PBE calculation of an optimized crystal structure of Li3PrBi2S6, from the Alexandria database.

## Properties
SG: C2/m
Raw formation energy, meV per atom: -1084.1
Crystal system: monoclinic

Cell lengths 6.981, 6.981, 6.695 Å; angles 99.65, 99.65, 120.27 degrees
Atoms (fractional coordinates):
S 0.085 0.421 0.261
S 0.746 0.746 0.260
S 0.915 0.579 0.739
S 0.254 0.254 0.740
S 0.579 0.915 0.739
S 0.421 0.085 0.261
Li 0.184 0.816 0.500
Li 0.500 0.500 0.500
Li 0.816 0.184 0.500
Bi 0.665 0.335 0.000
Bi 0.335 0.665 0.000
Pr 0.000 0.000 0.000

The following is a GGA-PBE calculation of an optimized crystal structure of Li2Pr2Bi2S, from the Alexandria database.

## Properties
SG: I4/mmm
Raw formation energy, meV per atom: -1069.4
Crystal system: tetragonal

Cell lengths 4.683, 4.683, 9.311 Å; angles 104.57, 104.57, 90.00 degrees
Atoms (fractional coordinates):
Pr 0.837 0.837 0.674
Pr 0.163 0.163 0.326
Bi 0.644 0.644 0.289
Bi 0.356 0.356 0.711
Li 0.000 0.500 0.000
Li 0.500 0.000 0.000
S 0.000 0.000 0.000

The following is a GGA-PBE calculation of an optimized crystal structure of LiPr2BiS5, from the Alexandria database.

## Properties
SG: Cmc2_1
Raw formation energy, meV per atom: -1425.2
Crystal system: orthorhombic

Cell lengths 4.037, 8.687, 11.967 Å; angles 90.00, 90.00, 103.44 degrees
Atoms (fractional coordinates):
Pr 0.881 0.761 0.798
Pr 0.889 0.779 0.185
Pr 0.119 0.239 0.298
Pr 0.111 0.221 0.685
S 0.300 0.601 0.333
S 0.713 0.426 0.164
S 0.045 0.089 0.071
S 0.700 0.399 0.833
S 0.495 0.990 0.287
S 0.364 0.729 0.998
S 0.636 0.271 0.498
S 0.287 0.574 0.664
S 0.505 0.010 0.787
S 0.955 0.911 0.571
Bi 0.194 0.389 0.001
Bi 0.806 0.611 0.501
Li 0.488 0.976 0.485
Li 0.512 0.024 0.985

The following is a GGA-PBE calculation of an optimized crystal structure of Li2Pr2SmBi2, from the Alexandria database.

## Properties
SG: R-3m
Crystal system: trigonal
Energy of formation, eV/atom: -0.46

Cell lengths 4.925, 4.925, 9.717 Å; angles 75.32, 75.32, 60.00 degrees
Atoms (fractional coordinates):
Sm 0.000 0.000 0.000
Li 0.405 0.405 0.784
Li 0.595 0.595 0.216
Bi 0.733 0.733 0.802
Bi 0.267 0.267 0.198
Pr 0.870 0.870 0.390
Pr 0.130 0.130 0.610

The following is a GGA-PBE calculation of an optimized crystal structure of Li2PrSm2Bi2, from the Alexandria database.

## Properties
SG: R-3m
Crystal system: trigonal
Energy of formation, eV/atom: -0.45

Cell lengths 4.920, 4.920, 9.644 Å; angles 75.22, 75.22, 60.00 degrees
Last column: magnetic moment on the atom in μB.
Atoms (fractional coordinates):
Li 0.411 0.411 0.766  0.00
Li 0.589 0.589 0.234  0.00
Sm 0.131 0.131 0.606  0.09
Sm 0.869 0.869 0.394  0.09
Bi 0.737 0.737 0.790  0.00
Bi 0.263 0.263 0.210  0.00
Pr 0.000 0.000 0.000  0.00

The following is a GGA-PBE calculation of an optimized crystal structure of Li2Tb2PrBi2, from the Alexandria database.

## Properties
SG: R-3m
Crystal system: trigonal
Energy of formation, eV/atom: -0.42

Cell lengths 4.908, 4.908, 9.506 Å; angles 75.04, 75.04, 60.00 degrees
Last column: magnetic moment on the atom in μB.
Atoms (fractional coordinates):
Tb 0.868 0.868 0.396  0.32
Tb 0.132 0.132 0.604  0.32
Li 0.414 0.414 0.758  0.01
Li 0.586 0.586 0.242  0.01
Bi 0.738 0.738 0.786  -0.01
Bi 0.262 0.262 0.214  -0.01
Pr 0.000 0.000 0.000  0.01

The following is a GGA-PBE calculation of an optimized crystal structure of Li2TbPr2Bi2, from the Alexandria database.

## Properties
SG: R-3m
Crystal system: trigonal
Energy of formation, eV/atom: -0.44

Cell lengths 4.922, 4.922, 9.624 Å; angles 75.18, 75.18, 60.00 degrees
Atoms (fractional coordinates):
Li 0.598 0.598 0.206
Li 0.402 0.402 0.794
Tb 0.000 0.000 0.000
Bi 0.731 0.731 0.808
Bi 0.269 0.269 0.192
Pr 0.871 0.871 0.387
Pr 0.129 0.129 0.613

The following is a GGA-PBE calculation of an optimized crystal structure of LiTbPrBi, from the Alexandria database.

## Properties
SG: F-43m
Crystal system: cubic
Energy of formation, eV/atom: -0.35

Cell lengths 5.407, 5.407, 5.407 Å; angles 60.00, 60.00, 60.00 degrees
Atoms (fractional coordinates):
Bi 0.750 0.750 0.750
Li 0.250 0.250 0.250
Pr 0.500 0.500 0.500
Tb 0.000 0.000 0.000

The following is a GGA-PBE calculation of an optimized crystal structure of Li2PrBiTe4, from the Alexandria database.

## Properties
SG: P2/m
Raw formation energy, meV per atom: -899.7
Crystal system: monoclinic

Cell lengths 4.464, 7.537, 7.718 Å; angles 70.12, 90.00, 90.00 degrees
Atoms (fractional coordinates):
Te 0.500 0.236 0.758
Te 0.000 0.765 0.751
Te 0.000 0.235 0.249
Te 0.500 0.764 0.242
Pr 0.000 0.500 0.500
Li 0.000 0.000 0.000
Li 0.500 0.000 0.500
Bi 0.500 0.500 0.000

The evaluated magnetization for the records listed, in turn: 0.0003, 0.0000, 0.0000, 0.0000, 0.0000, 0.0000, 0.0003, 0.0478, 0.1349, 0.0001, 0.0000, 0.0000 μB/atom.
The evaluated energy for the records listed, in turn: -3.469, -4.201, -4.800, -4.671, -4.680, -5.424, -4.152, -4.136, -4.085, -4.123, -4.151, -4.032 eV/atom.